Computed, not measured: a relaxed UH8Pt2 crystal at the PBE level of DFT.

Unit cell a=5.7781 b=4.5433 c=7.3064 alpha=90.00 beta=93.94 gamma=90.00
Space group C2/m (No. 12)
Symmetry-distinct sites (fractional):
U1 0.0000 0.0000 0.0000
H1 0.1256 0.5000 0.9396
H2 0.1572 0.5000 0.4994
H3 0.2445 0.2571 0.2749
Pt1 0.0057 0.5000 0.2913

Calculated values
The value obtained for the calculated total energy is -100.320 eV for the cell shown. The value obtained for the magnetic moment is 0.23 μB/atom.